VASP calculation (PBE-GGA) on a geometry-optimized Tm6GaPd5 structure.

Results
For the formation energy, the calculation gives -10.54 eV/f.u.

Geometry as CIF:
```
data_Tm6GaPd5
_chemical_formula_sum 'Tm6 Ga1 Pd5'
_cell_length_a 4.940
_cell_length_b 6.861
_cell_length_c 7.828
_cell_angle_alpha 90.00
_cell_angle_beta 108.48
_cell_angle_gamma 90.00
_space_group_name_H-M_alt 'P 1 2/m 1'
_space_group_IT_number 10
loop_
_space_group_symop_operation_xyz
'x,y,z'
'-x,-y,-z'
'-x,y,-z'
'x,-y,z'
loop_
_atom_site_label
_atom_site_fract_x
_atom_site_fract_y
_atom_site_fract_z
_atom_site_occupancy
Tm1 0.000 0.245 0.000 1
Tm2 0.332 0.249 0.663 1
Ga1 0.500 0.500 0.000 1
Pd1 0.161 0.500 0.323 1
Pd2 0.166 0.000 0.334 1
Pd3 0.500 0.000 0.000 1
```

VASP calculation (PBE-GGA) on a geometry-optimized ZrBeSi structure.

Results
The raw formation energy comes out at -217 kJ/mol of formula units.

Geometry as CIF:
```
data_ZrBeSi
_chemical_formula_sum 'Zr1 Be1 Si1'
_cell_length_a 3.7396
_cell_length_b 3.7396
_cell_length_c 3.6283
_cell_angle_alpha 90.00
_cell_angle_beta 90.00
_cell_angle_gamma 120.00
_space_group_name_H-M_alt 'P -6 m 2'
_space_group_IT_number 187
_space_group_name_Hall 'P -6 2'
loop_
_atom_site_label
_atom_site_fract_x
_atom_site_fract_y
_atom_site_fract_z
_atom_site_occupancy
Zr1 0.0000 0.0000 0.0000 1
Be1 0.6667 0.3333 0.5000 1
Si1 0.3333 0.6667 0.5000 1
```

VASP calculation (PBE-GGA) on a geometry-optimized Tl3Fe structure.

Results
For the formation energy, the calculation gives 1.81 eV/f.u.

Geometry as CIF:
```
data_Tl3Fe
_chemical_formula_sum 'Tl9 Fe3'
_cell_length_a 3.4178
_cell_length_b 3.4178
_cell_length_c 29.3717
_cell_angle_alpha 90.00
_cell_angle_beta 90.00
_cell_angle_gamma 120.00
_space_group_name_H-M_alt 'R -3 m'
_space_group_IT_number 166
_space_group_name_Hall '-R 3 2"'
loop_
_atom_site_label
_atom_site_fract_x
_atom_site_fract_y
_atom_site_fract_z
_atom_site_occupancy
Tl1 0.0000 0.0000 0.0000 1
Tl2 0.0000 0.0000 0.2366 1
Fe1 0.0000 0.0000 0.5000 1
```

VASP calculation (PBE-GGA) on a geometry-optimized PrGaSn2 structure.

Results
For the formation energy, the calculation gives -2.05 eV/f.u.

Geometry as CIF:
```
data_PrGaSn2
_chemical_formula_sum 'Pr2 Ga2 Sn4'
_cell_length_a 4.488
_cell_length_b 4.488
_cell_length_c 10.118
_cell_angle_alpha 90.00
_cell_angle_beta 90.00
_cell_angle_gamma 90.00
_space_group_name_H-M_alt 'I 4/m m m'
_space_group_IT_number 139
_space_group_name_Hall '-I 4 2'
loop_
_atom_site_label
_atom_site_fract_x
_atom_site_fract_y
_atom_site_fract_z
_atom_site_occupancy
Pr1 0.000 0.000 0.000 1
Ga1 0.000 0.000 0.500 1
Sn1 0.000 0.500 0.250 1
```

VASP calculation (PBE-GGA) on a geometry-optimized Co2SbOs structure.

Results
The raw formation energy comes out at 131 kJ/mol of formula units.

Geometry as CIF:
```
data_Co2SbOs
_chemical_formula_sum 'Co4 Sb2 Os2'
_cell_length_a 3.876
_cell_length_b 3.876
_cell_length_c 7.340
_cell_angle_alpha 90.00
_cell_angle_beta 90.00
_cell_angle_gamma 90.00
_space_group_name_H-M_alt 'I 4/m m m'
_space_group_IT_number 139
_space_group_name_Hall '-I 4 2'
loop_
_atom_site_label
_atom_site_fract_x
_atom_site_fract_y
_atom_site_fract_z
_atom_site_occupancy
Co1 0.000 0.500 0.250 1
Sb1 0.000 0.000 0.000 1
Os1 0.000 0.000 0.500 1
```

VASP calculation (PBE-GGA) on a geometry-optimized HgMoAu2 structure.

Results
For the formation energy, the calculation gives 1.66 eV/f.u.

Geometry as CIF:
```
data_HgMoAu2
_chemical_formula_sum 'Hg2 Mo2 Au4'
_cell_length_a 2.807
_cell_length_b 5.136
_cell_length_c 10.603
_cell_angle_alpha 90.00
_cell_angle_beta 90.00
_cell_angle_gamma 90.00
_space_group_name_H-M_alt 'I m m m'
_space_group_IT_number 71
_space_group_name_Hall '-I 2 2'
loop_
_atom_site_label
_atom_site_fract_x
_atom_site_fract_y
_atom_site_fract_z
_atom_site_occupancy
Hg1 0.000 0.000 0.000 1
Mo1 0.000 0.000 0.500 1
Au1 0.000 0.500 0.229 1
```

Density of states at the Fermi level: 7.01, 0.21, 4.40, 1.32, 4.25, 2.75 (states/eV/f.u.)